The following is a DFT calculation (PBE-GGA) of a relaxed structure of Tb4PrSm8.

The space group is R-3m (No. 166, hexagonal axes) and the conventional cell measures 7.3918, 7.3918 and 27.8439 Å, with angles of 90.00, 90.00 and 120.00 degrees. The inequivalent atoms are Tb at (0.0000, 0.0000, 0.0000), Tb at (0.0000, 0.5000, 0.0000), Pr at (0.0000, 0.0000, 0.5000), Sm at (0.0000, 0.0000, 0.2174) and Sm at (0.0356, 0.5178, 0.7670).

The energy of formation is 0.18 eV/atom. The value obtained for the total magnetization is 0.0 Bohr magnetons per cell. For the density of states at the Fermi level, the calculation gives 40.50 states/eV/cell. The crystal system is trigonal.

=====

The following is a DFT calculation (PBE-GGA) of a relaxed structure of Tb5Pr6Sm2.

The space group is Pbam (No. 55) and the conventional cell measures 11.878, 20.780 and 3.665 Å, with angles of 90.00, 90.00 and 90.00 degrees. The inequivalent atoms are Tb at (0.000, 0.000, 0.000), Tb at (0.091, 0.275, 0.000), Tb at (0.199, 0.556, 0.000), Pr at (0.059, 0.421, 0.500), Pr at (0.081, 0.134, 0.500), Pr at (0.177, 0.869, 0.000) and Sm at (0.168, 0.713, 0.500).

The energy of formation is 0.10 eV/atom. The value obtained for the total magnetization is 0.0 Bohr magnetons per cell. For the density of states at the Fermi level, the calculation gives 30.35 states/eV/cell. The crystal system is orthorhombic.

=====

The following is a DFT calculation (PBE-GGA) of a relaxed structure of TbPrSm.

The space group is P3m1 (No. 156) and the conventional cell measures 3.6328, 3.6328 and 8.8996 Å, with angles of 90.00, 90.00 and 120.00 degrees. The inequivalent atoms are Tb at (0.0000, 0.0000, 0.0000), Pr at (0.6667, 0.3333, 0.3334) and Sm at (0.3333, 0.6667, 0.6739).

The energy of formation is 0.02 eV/atom. The value obtained for the total magnetization is 0.0 Bohr magnetons per cell. For the density of states at the Fermi level, the calculation gives 3.92 states/eV/cell. The value obtained for the energy above the most stable polymorph in this dataset is 1 meV per atom. The crystal system is trigonal.

=====

Question: The highest energy of formation belongs to which entry?
Answer: Tb4PrSm8